## ZrCdAg2 (GGA-PBEsol)

Data for a geometry-optimized ZrCdAg2 structure.

Calculated values
energy of formation from the pure elements: -0.04 eV per atom
magnetic moment: 0.001 μB per cell

Unit cell a=4.5948 b=2.8433 c=11.3687 alpha=90.00 beta=90.00 gamma=90.00
Space group Amm2 (No. 38)
Inequivalent atoms, fractional coordinates:
Zr  0.0000  0.0000  0.0000 [2 per cell]
Cd  0.5000  0.0000  0.6529 [2 per cell]
Ag  0.0000  0.0000  0.2575 [2 per cell]
Ag  0.5000  0.0000  0.3931 [2 per cell]

***

## ReRuAu (GGA-PBEsol)

Data for a geometry-optimized ReRuAu structure.

Calculated values
energy of formation from the pure elements: 1.45 eV per atom
magnetic moment: 0.010 μB per cell

Unit cell a=5.9407 b=5.9407 c=5.9407 alpha=90.00 beta=90.00 gamma=90.00
Space group F-43m (No. 216)
Inequivalent atoms, fractional coordinates:
Re  0.0000  0.0000  0.0000 [4 per cell]
Ru  0.0000  0.0000  0.5000 [4 per cell]
Au  0.2500  0.2500  0.7500 [4 per cell]

***

## ScAg3Se (GGA-PBEsol)

Data for a geometry-optimized ScAg3Se structure.

Calculated values
magnetic moment: 0.000 μB per cell
formation energy without anion corrections: 25.41 kcal/mol of atoms

Unit cell a=5.0093 b=5.0093 c=5.0093 alpha=90.00 beta=90.00 gamma=90.00
Space group Pm-3m (No. 221)
Inequivalent atoms, fractional coordinates:
Sc  0.0000  0.0000  0.0000 [1 per cell]
Ag  0.0000  0.0000  0.5000 [3 per cell]
Se  0.5000  0.5000  0.5000 [1 per cell]

***

## YN (GGA-PBEsol)

Data for a geometry-optimized YN structure.

Calculated values
magnetic moment: 0.000 μB per cell
formation energy without anion corrections: -40.74 kcal/mol of atoms

Unit cell a=3.9881 b=3.9881 c=4.8642 alpha=90.00 beta=90.00 gamma=120.00
Space group P6_3/mmc (No. 194)
Inequivalent atoms, fractional coordinates:
Y  0.3333  0.6667  0.2500 [2 per cell]
N  0.3333  0.6667  0.7500 [2 per cell]

***

## BaIrRh2 (GGA-PBEsol)

Data for a geometry-optimized BaIrRh2 structure.

Calculated values
energy of formation from the pure elements: 0.08 eV per atom
magnetic moment: 0.004 μB per cell

Unit cell a=7.6354 b=4.3995 c=6.1027 alpha=90.00 beta=114.48 gamma=90.00
Space group Cm (No. 8)
Inequivalent atoms, fractional coordinates:
Ba  0.0000  0.0000  0.0000 [2 per cell]
Ir  0.3182  0.5000  0.4536 [2 per cell]
Rh  0.0003  0.5000  0.4998 [2 per cell]
Rh  0.1806  0.0000  0.5406 [2 per cell]

***

## LiMg (GGA-PBEsol)

Data for a geometry-optimized LiMg structure.

Calculated values
energy of formation from the pure elements: -0.04 eV per atom
magnetic moment: 0.000 μB per cell

Unit cell a=9.1751 b=5.3649 c=5.8108 alpha=90.00 beta=120.82 gamma=90.00
Space group C2 (No. 5)
Inequivalent atoms, fractional coordinates:
Li  0.0000  0.0000  0.0000 [2 per cell]
Li  0.1652  0.3267  0.4987 [4 per cell]
Mg  0.0000  0.8293  0.5000 [2 per cell]
Mg  0.1664  0.4977  0.0021 [4 per cell]

***

## CaMo2Cl (GGA-PBEsol)

Data for a geometry-optimized CaMo2Cl structure.

Calculated values
magnetic moment: 0.002 μB per cell
formation energy without anion corrections: 35.65 kcal/mol of atoms

Unit cell a=6.4411 b=6.4411 c=6.4411 alpha=90.00 beta=90.00 gamma=90.00
Space group Fm-3m (No. 225)
Inequivalent atoms, fractional coordinates:
Ca  0.0000  0.0000  0.0000 [4 per cell]
Mo  0.2500  0.2500  0.2500 [8 per cell]
Cl  0.0000  0.0000  0.5000 [4 per cell]

***

## Nd2Mo2O7 (GGA-PBEsol)

Data for a geometry-optimized Nd2Mo2O7 structure.

Calculated values
magnetic moment: 32.032 μB per cell
formation energy without anion corrections: -59.48 kcal/mol of atoms

Unit cell a=10.4167 b=10.4167 c=10.4167 alpha=90.00 beta=90.00 gamma=90.00
Space group Fd-3m (No. 227, origin choice 2)
Inequivalent atoms, fractional coordinates:
Nd  0.0000  0.0000  0.0000 [16 per cell]
Mo  0.0000  0.0000  0.5000 [16 per cell]
O  0.0815  0.3750  0.8750 [48 per cell]
O  0.1250  0.1250  0.1250 [8 per cell]